(1)
Computed, not measured: a relaxed Hf2OsN crystal at the PBE-GGA level of DFT.

N(E_F) = 0.35 states/eV per atom
volume = 14.94 Å³/atom
formation energy without anion corrections = -3.90 eV per formula unit
magnetic moment = 0.00 μB/atom
raw total energy = -130.07 eV for the cell shown

a = 3.1570 Å, b = 3.1570 Å, c = 20.7675 Å
α = 90.00°, β = 90.00°, γ = 120.00°
Space group R-3m (No. 166, hexagonal axes)
One atom of each set of equivalent atoms:
Hf 0.0000 0.0000 0.2315 (multiplicity 6)
Os 0.0000 0.0000 0.0000 (multiplicity 3)
N 0.0000 0.0000 0.5000 (multiplicity 3)

=====

(2)
Computed, not measured: a relaxed Sm8PtRh3I4 crystal at the PBE-GGA level of DFT.

N(E_F) = 0.40 states/eV per atom
volume = 30.18 Å³/atom
formation energy without anion corrections = -15.90 eV per formula unit
magnetic moment = 0.00 μB/atom
raw total energy = -263.83 eV for the cell shown

a = 8.3282 Å, b = 8.3282 Å, c = 24.1186 Å
α = 90.00°, β = 90.00°, γ = 120.00°
Space group R-3m (No. 166, hexagonal axes)
One atom of each set of equivalent atoms:
Sm 0.0000 0.0000 0.2283 (multiplicity 6)
Sm 0.0052 0.5026 0.7719 (multiplicity 18)
Pt 0.0000 0.0000 0.5000 (multiplicity 3)
Rh 0.0000 0.5000 0.5000 (multiplicity 9)
I 0.0000 0.0000 0.0000 (multiplicity 3)
I 0.0000 0.5000 0.0000 (multiplicity 9)

=====

(3)
Computed, not measured: a relaxed Ce2Mg2Ge crystal at the PBE-GGA level of DFT.

ΔH_f (0 K) = -0.066 eV/atom
N(E_F) = 1.89 states/eV per atom
volume = 27.55 Å³/atom
magnetic moment = 0.43 μB/atom
raw total energy = -40.01 eV for the cell shown

a = 3.952 Å, b = 3.952 Å, c = 17.638 Å
α = 90.00°, β = 90.00°, γ = 90.00°
Space group I4/mmm (No. 139)
One atom of each set of equivalent atoms:
Ce 0.000 0.000 0.078 (multiplicity 4)
Mg 0.000 0.500 0.250 (multiplicity 4)
Ge 0.000 0.000 0.500 (multiplicity 2)

=====

(4)
Computed, not measured: a relaxed Ag2C crystal at the PBE-GGA level of DFT.

ΔH_f (0 K) = 0.633 eV/atom
N(E_F) = 0.27 states/eV per atom
volume = 14.73 Å³/atom
energy above the most stable polymorph in this dataset = 6 meV per atom
magnetic moment = 0.00 μB/atom
raw total energy = -52.12 eV for the cell shown

a = 9.640 Å, b = 2.681 Å, c = 7.053 Å
α = 90.00°, β = 104.18°, γ = 90.00°
Space group C2/m (No. 12)
One atom of each set of equivalent atoms:
Ag 0.053 0.000 0.207 (multiplicity 4)
Ag 0.147 0.500 0.592 (multiplicity 4)
C 0.231 0.000 0.017 (multiplicity 4)

=====

(5)
Computed, not measured: a relaxed MgAl6S8 crystal at the PBE-GGA level of DFT.

N(E_F) = 0.20 states/eV per atom
volume = 19.27 Å³/atom
formation energy without anion corrections = -10.41 eV per formula unit
magnetic moment = 0.00 μB/atom
raw total energy = -202.44 eV for the cell shown

a = 9.4773 Å, b = 9.4773 Å, c = 11.1490 Å
α = 90.00°, β = 90.00°, γ = 120.00°
Space group R-3 (No. 148, hexagonal axes)
One atom of each set of equivalent atoms:
Mg 0.0000 0.0000 0.0000 (multiplicity 3)
Al 0.0051 0.8267 0.3836 (multiplicity 18)
S 0.0000 0.0000 0.2325 (multiplicity 6)
S 0.0251 0.7181 0.5852 (multiplicity 18)

=====

Repeat the third record exactly.
Computed, not measured: a relaxed Ce2Mg2Ge crystal at the PBE-GGA level of DFT.

ΔH_f (0 K) = -0.066 eV/atom
N(E_F) = 1.89 states/eV per atom
volume = 27.55 Å³/atom
magnetic moment = 0.43 μB/atom
raw total energy = -40.01 eV for the cell shown

a = 3.952 Å, b = 3.952 Å, c = 17.638 Å
α = 90.00°, β = 90.00°, γ = 90.00°
Space group I4/mmm (No. 139)
One atom of each set of equivalent atoms:
Ce 0.000 0.000 0.078 (multiplicity 4)
Mg 0.000 0.500 0.250 (multiplicity 4)
Ge 0.000 0.000 0.500 (multiplicity 2)

=====

> Which formula does entry 2 have?

Sm8PtRh3I4

=====

Repeat the third record exactly.
Computed, not measured: a relaxed Ce2Mg2Ge crystal at the PBE-GGA level of DFT.

ΔH_f (0 K) = -0.066 eV/atom
N(E_F) = 1.89 states/eV per atom
volume = 27.55 Å³/atom
magnetic moment = 0.43 μB/atom
raw total energy = -40.01 eV for the cell shown

a = 3.952 Å, b = 3.952 Å, c = 17.638 Å
α = 90.00°, β = 90.00°, γ = 90.00°
Space group I4/mmm (No. 139)
One atom of each set of equivalent atoms:
Ce 0.000 0.000 0.078 (multiplicity 4)
Mg 0.000 0.500 0.250 (multiplicity 4)
Ge 0.000 0.000 0.500 (multiplicity 2)